A geometry-optimized Ba2LiAu structure, computed with GGA-PBE.

It has space group R3m (No. 160, hexagonal axes), with a = 4.6695 Å, b = 4.6695 Å, c = 25.1562 Å, α = 90.00°, β = 90.00° and γ = 120.00°. The inequivalent atoms are Ba at (0.0000, 0.0000, 0.0000), Ba at (0.0000, 0.0000, 0.1767), Li at (0.0000, 0.0000, 0.4216) and Au at (0.0000, 0.0000, 0.7550).

The calculation puts the density at 5.02 g cm⁻³. Its total energy is -32.0 eV/cell.


A geometry-optimized Er4InGeC2 structure, computed with GGA-PBE.

It has space group P-6m2 (No. 187), with a = 3.5600 Å, b = 3.5600 Å, c = 15.4990 Å, α = 90.00°, β = 90.00° and γ = 120.00°. The inequivalent atoms are Er at (0.0000, 0.0000, 0.1500), Er at (0.3333, 0.6667, 0.3224), In at (0.0000, 0.0000, 0.5000), Ge at (0.3333, 0.6667, 0.0000) and C at (0.6667, 0.3333, 0.2383).

The calculation puts the density at 8.60 g cm⁻³. Its total energy is -47.8 eV/cell.


A geometry-optimized LiZrCoB structure, computed with GGA-PBE.

It has space group F-43m (No. 216), with a = 5.732 Å, b = 5.732 Å, c = 5.732 Å, α = 90.00°, β = 90.00° and γ = 90.00°. The inequivalent atoms are Li at (0.000, 0.000, 0.000), Zr at (0.250, 0.250, 0.750), Co at (0.000, 0.000, 0.500) and B at (0.250, 0.250, 0.250).

The calculation puts the density at 5.92 g cm⁻³. Its total energy is -95.2 eV/cell.


A geometry-optimized ZrNpNi structure, computed with GGA-PBE.

It has space group F-43m (No. 216), with a = 6.257 Å, b = 6.257 Å, c = 6.257 Å, α = 90.00°, β = 90.00° and γ = 90.00°. The inequivalent atoms are Zr at (0.000, 0.000, 0.000), Np at (0.000, 0.000, 0.500) and Ni at (0.250, 0.250, 0.250).

The calculation puts the density at 10.49 g cm⁻³. As for the formation energy: 0.382 eV/atom. Its total energy is -103.0 eV/cell.